# 1
Here is a relaxed structure of Ca5CeN4 from the Alexandria database. Energies are from PBE-GGA.

Cell lengths 15.5210, 3.5908, 7.2540 Å; angles 90.00, 101.84, 90.00 degrees
Closest atoms and distances in Å follow each position.
Space group C2/m (No. 12)
Inequivalent atoms, fractional coordinates:
Ca  0.0000  0.0000  0.0000  4 N 2.62
Ca  0.1581  0.5000  0.7962  3 N 2.40-2.41
Ca  0.1684  0.5000  0.3597  4 N 2.41-2.61
Ce  0.0000  0.0000  0.5000  6 N 2.43-2.49
N  0.0008  0.5000  0.2628  4 Ca 2.41-2.62, 2 Ce 2.49
N  0.1598  0.0000  0.5777  5 Ca 2.40-2.61, 1 Ce 2.43

## Properties
formation energy without anion corrections	-0.934	eV per atom
volume	396	Å³ per cell

***

# 2
Here is a relaxed structure of CaCe3N4 from the Alexandria database. Energies are from PBE-GGA.

Cell lengths 3.5676, 3.5676, 23.3534 Å; angles 90.00, 90.00, 120.00 degrees
Closest atoms and distances in Å follow each position.
Space group P6_3/mmc (No. 194)
Inequivalent atoms, fractional coordinates:
Ca  0.3333  0.6667  0.2500  6 N 2.63
Ce  0.0000  0.0000  0.0000  6 N 2.52
Ce  0.3333  0.6667  0.6264  6 N 2.41-2.54
N  0.0000  0.0000  0.1799  3 Ce 2.41, 3 Ca 2.63
N  0.3333  0.6667  0.0625  6 Ce 2.52-2.54

## Properties
formation energy without anion corrections	-1.385	eV per atom
volume	257	Å³ per cell

***

# 3
Here is a relaxed structure of Ca3Ce2NbN6 from the Alexandria database. Energies are from PBE-GGA.

Cell lengths 5.9827, 10.3780, 5.9810 Å; angles 90.00, 109.43, 90.00 degrees
Closest atoms and distances in Å follow each position.
Space group C2/m (No. 12)
Inequivalent atoms, fractional coordinates:
Ca  0.0000  0.0000  0.0000  6 N 2.50-2.67
Ca  0.0000  0.3382  0.0000  6 N 2.48-2.70
Ce  0.0000  0.1672  0.5000  6 N 2.41
Nb  0.0000  0.5000  0.5000  6 N 2.21-2.22
N  0.2276  0.3457  0.7184  1 Nb 2.22, 2 Ce 2.41
N  0.2376  0.5000  0.2846  1 Nb 2.21, 2 Ce 2.41, 2 Ca 2.48

## Properties
formation energy without anion corrections	-1.254	eV per atom
volume	350	Å³ per cell

***

# 4
Here is a relaxed structure of CaCe2NbN5 from the Alexandria database. Energies are from PBE-GGA.

Cell lengths 3.5771, 13.5301, 11.3790 Å; angles 90.00, 90.00, 90.00 degrees
Closest atoms and distances in Å follow each position.
Space group Cmc2_1 (No. 36)
Inequivalent atoms, fractional coordinates:
Ca  0.0000  0.2343  0.0000  7 N 2.49-2.61
Ce  0.0000  0.3632  0.2447  5 N 2.21-2.41
Ce  0.0000  0.3627  0.7554  5 N 2.22-2.41
Nb  0.0000  0.0115  0.4998  4 N 1.93-2.03
N  0.0000  0.0772  0.1330  1 Nb 1.93
N  0.0000  0.0783  0.8679  1 Nb 1.93
N  0.0000  0.2211  0.6576  3 Ce 2.22-2.34
N  0.0000  0.2217  0.3420  3 Ce 2.21-2.34
N  0.0000  0.4183  0.9987  2 Nb 2.03

## Properties
formation energy without anion corrections	-1.212	eV per atom
volume	551	Å³ per cell

***

# 5
Here is a relaxed structure of Ca2CeNbN4 from the Alexandria database. Energies are from PBE-GGA.

Cell lengths 5.9038, 3.3726, 5.9319 Å; angles 90.00, 108.84, 90.00 degrees
Closest atoms and distances in Å follow each position.
Space group P2/m (No. 10)
Inequivalent atoms, fractional coordinates:
Ca  0.0000  0.0000  0.0000  6 N 2.56-2.65
Ca  0.5000  0.5000  0.0000  6 N 2.46-2.47
Ce  0.0000  0.5000  0.5000  6 N 2.37-2.38
Nb  0.5000  0.0000  0.5000  6 N 2.17-2.27
N  0.2665  0.0000  0.7163  1 Nb 2.17, 2 Ce 2.38
N  0.2751  0.5000  0.2836  2 Nb 2.27, 1 Ce 2.37, 1 Ca 2.46

## Properties
formation energy without anion corrections	-1.204	eV per atom
volume	112	Å³ per cell

***

# 6
Here is a relaxed structure of Ca2Ce3NbN6 from the Alexandria database. Energies are from PBE-GGA.

Cell lengths 6.0411, 10.4520, 5.9116 Å; angles 90.00, 109.74, 90.00 degrees
Closest atoms and distances in Å follow each position.
Space group C2/m (No. 12)
Inequivalent atoms, fractional coordinates:
Ca  0.0000  0.1665  0.0000  6 N 2.51-2.53
Ce  0.0000  0.0000  0.5000  6 N 2.39-2.62
Ce  0.0000  0.3326  0.5000  6 N 2.38-2.66
Nb  0.0000  0.5000  0.0000  6 N 2.24-2.27
N  0.2167  0.5000  0.7522  1 Nb 2.27, 2 Ce 2.38, 2 Ca 2.53
N  0.2292  0.3518  0.2404  1 Nb 2.24, 2 Ce 2.39-2.40

## Properties
formation energy without anion corrections	-1.290	eV per atom
volume	351	Å³ per cell

***

# 7
Here is a relaxed structure of CaCeNd2N4 from the Alexandria database. Energies are from PBE-GGA.

Cell lengths 6.1890, 3.6331, 6.2121 Å; angles 90.00, 108.61, 90.00 degrees
Closest atoms and distances in Å follow each position.
Space group P2/m (No. 10)
Inequivalent atoms, fractional coordinates:
Ca  0.0000  0.0000  0.0000  6 N 2.54-2.60
Ce  0.5000  0.5000  0.0000  6 N 2.39-2.53
Nd  0.0000  0.5000  0.5000  6 N 2.60-2.64
Nd  0.5000  0.0000  0.5000  6 N 2.50-2.53
N  0.2581  0.0000  0.7546  3 Nd 2.50-2.60, 2 Ce 2.53, 1 Ca 2.54
N  0.2694  0.5000  0.2446  1 Ce 2.39, 3 Nd 2.53-2.64, 2 Ca 2.60

## Properties
formation energy without anion corrections	-1.297	eV per atom
volume	132	Å³ per cell

***

# 8
Here is a relaxed structure of Ca3Ce2NdN6 from the Alexandria database. Energies are from PBE-GGA.

Cell lengths 6.2155, 10.7734, 6.1277 Å; angles 90.00, 109.73, 90.00 degrees
Closest atoms and distances in Å follow each position.
Space group C2/m (No. 12)
Inequivalent atoms, fractional coordinates:
Ca  0.0000  0.0000  0.0000  6 N 2.53-2.64
Ca  0.0000  0.3325  0.0000  6 N 2.54-2.65
Ce  0.0000  0.1666  0.5000  6 N 2.41-2.42
Nd  0.0000  0.5000  0.5000  6 N 2.52
N  0.2292  0.0000  0.7277  2 Ce 2.42, 1 Nd 2.52, 3 Ca 2.53-2.64
N  0.2490  0.3266  0.7250  2 Ce 2.41, 1 Nd 2.52, 3 Ca 2.54-2.65

## Properties
formation energy without anion corrections	-1.167	eV per atom
volume	386	Å³ per cell

***

# 9
Here is a relaxed structure of CaCe2NiN4 from the Alexandria database. Energies are from PBE-GGA.

Cell lengths 3.5322, 11.6007, 11.7762 Å; angles 90.00, 90.00, 90.00 degrees
Closest atoms and distances in Å follow each position.
Space group Cmcm (No. 63)
Inequivalent atoms, fractional coordinates:
Ca  0.0000  0.1219  0.2500  6 N 2.74-3.02
Ce  0.0000  0.3689  0.0526  6 N 2.35-2.43
Ni  0.0000  0.1583  0.7500  4 N 1.94-1.97
N  0.0000  0.0000  0.0000  4 Ce 2.41
N  0.0000  0.2598  0.6160  1 Ni 1.97
N  0.0000  0.4107  0.2500  2 Ni 1.94

## Properties
formation energy without anion corrections	-0.919	eV per atom
volume	483	Å³ per cell

***

# 10
Here is a relaxed structure of Ca2Ce3NpN6 from the Alexandria database. Energies are from PBE-GGA.

Cell lengths 6.1388, 10.6052, 6.1161 Å; angles 90.00, 109.47, 90.00 degrees
Closest atoms and distances in Å follow each position.
Space group C2/m (No. 12)
Inequivalent atoms, fractional coordinates:
Ca  0.0000  0.1663  0.0000  6 N 2.58-2.59
Ce  0.0000  0.0000  0.5000  6 N 2.44-2.64
Ce  0.0000  0.3318  0.5000  6 N 2.43-2.67
Np  0.0000  0.5000  0.0000  6 N 2.33-2.37
N  0.2195  0.5000  0.7466  1 Np 2.37, 3 Ce 2.43-2.64, 2 Ca 2.59
N  0.2325  0.3496  0.2463  1 Np 2.33, 2 Ce 2.44, 2 Ca 2.58

## Properties
formation energy without anion corrections	-1.304	eV per atom
volume	375	Å³ per cell

***

# 11
Here is a relaxed structure of CaCe2NpN4 from the Alexandria database. Energies are from PBE-GGA.

Cell lengths 4.9872, 4.9872, 9.9692 Å; angles 90.00, 90.00, 90.00 degrees
Closest atoms and distances in Å follow each position.
Space group I-4m2 (No. 119)
Inequivalent atoms, fractional coordinates:
Ca  0.0000  0.0000  0.0000  6 N 2.50-2.55
Ce  0.0000  0.0000  0.5000  6 N 2.43-2.50
Ce  0.0000  0.5000  0.2500  6 N 2.49-2.69
Np  0.0000  0.5000  0.7500  6 N 2.29-2.49
N  0.0000  0.0000  0.2561  3 Ce 2.43-2.49, 2 Np 2.49, 1 Ca 2.55
N  0.0000  0.5000  0.5203  1 Np 2.29, 2 Ca 2.50, 2 Ce 2.50

## Properties
formation energy without anion corrections	-1.277	eV per atom
volume	248	Å³ per cell

***

# 12
Here is a relaxed structure of Ca2CeNpN4 from the Alexandria database. Energies are from PBE-GGA.

Cell lengths 6.0456, 3.5373, 6.1123 Å; angles 90.00, 109.23, 90.00 degrees
Closest atoms and distances in Å follow each position.
Space group P2/m (No. 10)
Inequivalent atoms, fractional coordinates:
Ca  0.0000  0.0000  0.0000  6 N 2.54-2.56
Ca  0.0000  0.5000  0.5000  6 N 2.62-2.70
Ce  0.5000  0.0000  0.5000  6 N 2.43-2.45
Np  0.5000  0.5000  0.0000  6 N 2.26-2.37
N  0.2809  0.0000  0.7696  2 Np 2.37, 1 Ce 2.43, 3 Ca 2.54-2.62
N  0.2845  0.5000  0.2401  1 Np 2.26, 2 Ce 2.45

## Properties
formation energy without anion corrections	-1.234	eV per atom
volume	123	Å³ per cell

***

# 13
Here is a relaxed structure of Ca3Ce2NpN6 from the Alexandria database. Energies are from PBE-GGA.

Cell lengths 6.1483, 10.6577, 6.0663 Å; angles 90.00, 109.72, 90.00 degrees
Closest atoms and distances in Å follow each position.
Space group C2/m (No. 12)
Inequivalent atoms, fractional coordinates:
Ca  0.0000  0.0000  0.0000  6 N 2.56-2.72
Ca  0.0000  0.3353  0.0000  6 N 2.56-2.71
Ce  0.0000  0.1672  0.5000  6 N 2.45
Np  0.0000  0.5000  0.5000  6 N 2.28-2.31
N  0.2309  0.3427  0.7200  1 Np 2.31, 2 Ce 2.45, 2 Ca 2.56
N  0.2408  0.5000  0.2854  1 Np 2.28, 2 Ce 2.45

## Properties
formation energy without anion corrections	-1.267	eV per atom
volume	374	Å³ per cell

***

# 14
Here is a relaxed structure of Ca3CeNp2N6 from the Alexandria database. Energies are from PBE-GGA.

Cell lengths 15.2366, 3.5188, 7.0219 Å; angles 90.00, 102.94, 90.00 degrees
Closest atoms and distances in Å follow each position.
Space group C2/m (No. 12)
Inequivalent atoms, fractional coordinates:
Ca  0.0000  0.0000  0.0000  6 N 2.54-2.62
Ca  0.1673  0.5000  0.3331  6 N 2.51-2.69
Ce  0.0000  0.0000  0.5000  6 N 2.44-2.45
Np  0.1673  0.5000  0.8340  6 N 2.28-2.38
N  0.0140  0.5000  0.7467  1 Np 2.28, 2 Ce 2.44, 2 Ca 2.54
N  0.1643  0.0000  0.6117  2 Np 2.35, 1 Ce 2.45, 1 Ca 2.51
N  0.1760  0.0000  0.0651  3 Np 2.33-2.38, 2 Ca 2.60

## Properties
formation energy without anion corrections	-1.211	eV per atom
volume	367	Å³ per cell

***

# 15
Here is a relaxed structure of Ca3CeNp3N8 from the Alexandria database. Energies are from PBE-GGA.

Cell lengths 7.0056, 7.0056, 16.9858 Å; angles 90.00, 90.00, 120.00 degrees
Closest atoms and distances in Å follow each position.
Space group R-3m (No. 166, hexagonal axes)
Inequivalent atoms, fractional coordinates:
Ca  0.0000  0.5000  0.0000  6 N 2.54-2.70
Ce  0.0000  0.0000  0.5000  6 N 2.34
Np  0.0000  0.5000  0.5000  6 N 2.27-2.40
N  0.0000  0.0000  0.2427  3 Np 2.40, 3 Ca 2.54
N  0.0085  0.5042  0.7700  2 Np 2.27, 1 Ce 2.34

## Properties
formation energy without anion corrections	-1.064	eV per atom
volume	722	Å³ per cell

***

# 16
Here is a relaxed structure of CaCeNO from the Alexandria database. Energies are from PBE-GGA.

Cell lengths 3.5393, 3.5393, 17.2707 Å; angles 90.00, 90.00, 120.00 degrees
Closest atoms and distances in Å follow each position.
Space group R3m (No. 160, hexagonal axes)
Inequivalent atoms, fractional coordinates:
Ca  0.0000  0.0000  0.0000  3 O 2.49, 3 N 2.57
Ce  0.0000  0.0000  0.4966  3 N 2.40, 3 O 2.54
N  0.0000  0.0000  0.7567  3 Ce 2.40, 3 Ca 2.57
O  0.0000  0.0000  0.2507  3 Ca 2.49, 3 Ce 2.54

## Properties
formation energy without anion corrections	-2.107	eV per atom
volume	187	Å³ per cell

***

# 17
Here is a relaxed structure of Ca3Ce3OsN8 from the Alexandria database. Energies are from PBE-GGA.

Cell lengths 6.8880, 6.8880, 16.9600 Å; angles 90.00, 90.00, 120.00 degrees
Closest atoms and distances in Å follow each position.
Space group R-3m (No. 166, hexagonal axes)
Inequivalent atoms, fractional coordinates:
Ca  0.0000  0.5000  0.0000  6 N 2.51-2.54
Ce  0.0000  0.5000  0.5000  6 N 2.38-2.39
Os  0.0000  0.0000  0.5000  6 N 2.09
N  0.0000  0.0000  0.2433  3 Ce 2.38, 3 Ca 2.51
N  0.0380  0.5190  0.2332  1 Os 2.09

## Properties
formation energy without anion corrections	-0.896	eV per atom
volume	697	Å³ per cell

***

# 18
Here is a relaxed structure of Ca2CeOsN4 from the Alexandria database. Energies are from PBE-GGA.

Cell lengths 3.4625, 11.5249, 11.8771 Å; angles 90.00, 90.00, 90.00 degrees
Closest atoms and distances in Å follow each position.
Space group Cmcm (No. 63)
Inequivalent atoms, fractional coordinates:
Ca  0.0000  0.1297  0.0362  3 N 2.33-2.38
Ce  0.0000  0.3821  0.2500  6 N 2.52-2.75
Os  0.0000  0.3526  0.7500  4 N 1.94-1.96
N  0.0000  0.0676  0.2500  2 Os 1.96
N  0.0000  0.2285  0.6399  1 Os 1.94
N  0.0000  0.5000  0.0000  4 Ca 2.33

## Properties
formation energy without anion corrections	-0.591	eV per atom
volume	474	Å³ per cell

***

# 19
Here is a relaxed structure of CaCe2OsN4 from the Alexandria database. Energies are from PBE-GGA.

Cell lengths 3.5525, 11.7453, 12.3463 Å; angles 90.00, 90.00, 90.00 degrees
Closest atoms and distances in Å follow each position.
Space group Cmcm (No. 63)
Inequivalent atoms, fractional coordinates:
Ca  0.0000  0.0706  0.2500  2 N 2.58
Ce  0.0000  0.3678  0.0497  6 N 2.35-2.53
Os  0.0000  0.1815  0.7500  4 N 1.95-2.08
N  0.0000  0.0000  0.0000  4 Ce 2.44
N  0.0000  0.2560  0.6085  1 Os 1.95
N  0.0000  0.4114  0.2500  2 Os 2.08

## Properties
formation energy without anion corrections	-0.828	eV per atom
volume	515	Å³ per cell

***

# 20
Here is a relaxed structure of Ca2Ce4P3N2 from the Alexandria database. Energies are from PBE-GGA.

Cell lengths 4.6217, 4.6217, 23.2749 Å; angles 90.00, 90.00, 90.00 degrees
Closest atoms and distances in Å follow each position.
Space group I4/mmm (No. 139)
Inequivalent atoms, fractional coordinates:
Ca  0.0000  0.0000  0.2025  1 N 2.36
Ce  0.0000  0.5000  0.0821  2 N 2.35
P  0.0000  0.0000  0.3272  1 Ca 2.90, 4 Ce 3.13
P  0.0000  0.0000  0.5000  8 Ce 3.00
N  0.0000  0.0000  0.1010  4 Ce 2.35, 1 Ca 2.36

## Properties
formation energy without anion corrections	-1.205	eV per atom
volume	497	Å³ per cell